Entry from the Alexandria database: crystalline ZrTeCI2 at its relaxed geometry (GGA-PBE).

Computed properties:
* space group: P4/mmm, No. 123
* energy relative to the elements, uncorrected: 5.053 eV per formula unit
* energy relative to the lowest polymorph listed for this composition: 0.000 eV per atom
* E_tot: -3.79 eV/atom

The structure in extended XYZ format:
```
5
Lattice="4.914 0.000 0.000 0.000 4.914 0.000 0.000 0.000 4.888" Properties=species:S:1:pos:R:3 pbc="T T T"
Zr 0.000 0.000 0.000
Te 2.457 2.457 0.000
C 2.457 2.457 2.444
I 0.000 2.457 2.444
I 2.457 0.000 2.444
```

***

Entry from the Alexandria database: crystalline SrCa2GaF at its relaxed geometry (GGA-PBE).

Computed properties:
* space group: P4/mmm, No. 123
* energy relative to the elements, uncorrected: -5.933 eV per formula unit
* E_tot: -3.30 eV/atom

The structure in extended XYZ format:
```
5
Lattice="4.972 0.000 0.000 0.000 4.972 0.000 0.000 0.000 5.134" Properties=species:S:1:pos:R:3 pbc="T T T"
Sr 0.000 0.000 0.000
Ca 0.000 2.486 2.567
Ca 2.486 0.000 2.567
Ga 2.486 2.486 0.000
F 0.000 0.000 2.567
```

***

Entry from the Alexandria database: crystalline Ho2B10Ru at its relaxed geometry (GGA-PBE).

Computed properties:
* space group: Pbam, No. 55
* DFT formation energy: -0.4761 eV/atom
* E_tot: -7.03 eV/atom

The structure in extended XYZ format:
```
26
Lattice="5.694 0.000 0.000 0.000 11.323 0.000 0.000 0.000 4.161" Properties=species:S:1:pos:R:3 pbc="T T T"
Ho 1.274 1.469 0.000
Ho 1.573 7.131 0.000
Ho 4.120 4.193 0.000
Ho 4.420 9.855 0.000
B 0.328 3.481 2.081
B 0.681 10.853 2.081
B 0.762 9.087 2.081
B 1.270 4.316 0.830
B 1.270 4.316 3.332
B 1.577 9.978 0.830
B 1.577 9.978 3.332
B 2.085 3.425 2.081
B 2.165 5.191 2.081
B 2.519 9.143 2.081
B 3.175 2.181 2.081
B 3.528 6.132 2.081
B 3.609 7.898 2.081
B 4.117 1.346 0.830
B 4.117 1.346 3.332
B 4.424 7.008 0.830
B 4.424 7.008 3.332
B 4.932 2.236 2.081
B 5.012 0.470 2.081
B 5.366 7.843 2.081
Ru 0.000 5.662 2.081
Ru 2.847 0.000 2.081
```

***

Entry from the Alexandria database: crystalline ZnSb2Os at its relaxed geometry (GGA-PBE).

Computed properties:
* space group: Amm2, No. 38
* energy relative to the elements, uncorrected: 1.197 eV per formula unit
* E_tot: -4.89 eV/atom

The structure in extended XYZ format:
```
8
Lattice="4.365 0.000 0.000 0.000 3.819 0.000 0.000 0.000 9.542" Properties=species:S:1:pos:R:3 pbc="T T T"
Zn 0.000 0.000 0.000
Zn 0.000 1.910 4.771
Sb 0.000 0.000 6.906
Sb 0.000 1.910 2.135
Sb 2.182 0.000 4.232
Sb 2.182 1.910 9.003
Os 2.182 0.000 1.435
Os 2.182 1.910 6.206
```